# 1
The following is a PBE calculation of a relaxed structure of Nd2Dy3ErTm6, from the Alexandria database.

Computed properties:
The calculation puts the total energy at -54.5 eV per cell. Its space group is No. 12. The formation enthalpy at 0 K is 0.022 eV/atom. The value obtained for the magnetization is 0.000 μB per atom.

Cell: 6.123 6.123 11.677 Å, 95.01 95.01 119.96°
Positions (direct):
Dy: 0.833 0.167 0.500
Dy: 0.500 0.500 0.500
Dy: 0.167 0.833 0.500
Nd: 0.333 0.667 0.000
Nd: 0.667 0.333 0.000
Tm: 0.417 0.084 0.252
Tm: 0.916 0.583 0.748
Tm: 0.583 0.916 0.748
Tm: 0.084 0.417 0.252
Tm: 0.752 0.752 0.252
Tm: 0.248 0.248 0.748
Er: 0.000 0.000 0.000


# 2
The following is a PBE calculation of a relaxed structure of NdDyEr2Tm6, from the Alexandria database.

Computed properties:
The calculation puts the total energy at -88.2 eV per cell. Its space group is No. 15. The formation enthalpy at 0 K is 0.124 eV/atom. The value obtained for the magnetization is 0.000 μB per atom.

Cell: 9.381 8.703 8.703 Å, 117.54 93.26 93.26°
Positions (direct):
Er: 0.548 0.198 0.305
Er: 0.048 0.305 0.198
Er: 0.952 0.695 0.802
Er: 0.452 0.802 0.695
Tm: 0.682 0.019 0.565
Tm: 0.442 0.248 0.876
Tm: 0.384 0.511 0.291
Tm: 0.058 0.124 0.752
Tm: 0.942 0.876 0.248
Tm: 0.616 0.489 0.709
Tm: 0.818 0.435 0.981
Tm: 0.116 0.709 0.489
Tm: 0.182 0.565 0.019
Tm: 0.318 0.981 0.435
Tm: 0.884 0.291 0.511
Tm: 0.558 0.752 0.124
Nd: 0.750 0.028 0.972
Nd: 0.250 0.972 0.028
Dy: 0.250 0.410 0.590
Dy: 0.750 0.590 0.410


# 3
The following is a PBE calculation of a relaxed structure of NdDy2ErTm4, from the Alexandria database.

Computed properties:
The calculation puts the total energy at -65.7 eV per cell. Its space group is No. 74. The formation enthalpy at 0 K is 0.446 eV/atom. The value obtained for the magnetization is 0.353 μB per atom.

Cell: 9.439 9.439 11.670 Å, 128.18 128.18 88.89°
Positions (direct):
Tm: 0.251 0.249 0.001
Tm: 0.251 0.249 0.499
Tm: 0.749 0.751 0.501
Tm: 0.750 0.248 0.999
Tm: 0.749 0.751 0.999
Tm: 0.252 0.750 0.501
Tm: 0.748 0.250 0.499
Tm: 0.250 0.752 0.001
Dy: 0.500 0.000 0.500
Dy: 0.500 0.500 0.000
Dy: 0.500 0.000 0.000
Dy: 0.000 0.000 0.500
Er: 0.000 0.000 0.000
Er: 0.500 0.500 0.500
Nd: 0.000 0.500 0.500
Nd: 0.000 0.500 0.000


# 4
The following is a PBE calculation of a relaxed structure of Nd6DyEr3Tm2, from the Alexandria database.

Computed properties:
The calculation puts the total energy at -55.7 eV per cell. Its space group is No. 12. The formation enthalpy at 0 K is 0.013 eV/atom. The value obtained for the magnetization is 0.000 μB per atom.

Cell: 6.244 6.244 11.773 Å, 95.06 95.06 119.99°
Positions (direct):
Nd: 0.916 0.583 0.750
Nd: 0.417 0.084 0.250
Nd: 0.084 0.417 0.250
Nd: 0.750 0.750 0.250
Nd: 0.250 0.250 0.750
Nd: 0.583 0.916 0.750
Dy: 0.000 0.000 0.000
Er: 0.500 0.500 0.500
Er: 0.167 0.833 0.500
Er: 0.833 0.167 0.500
Tm: 0.333 0.667 0.000
Tm: 0.667 0.333 0.000